An optimized crystal structure of Ho4Al2In, computed with PBE.

Lattice parameters (Å, degrees): 8.7752 8.7752 8.7752 33.76 33.76 33.76
Last column: nearest neighbours and their distance in Å.
Fractional positions:
Ho: 0.1162 0.1162 0.1162  4 Al 3.04-3.28, 3 In 3.20
Ho: 0.3696 0.3696 0.3696  4 Al 3.01-3.18, 1 In 3.23
Ho: 0.6304 0.6304 0.6304  4 Al 3.01-3.18, 1 In 3.23
Ho: 0.8838 0.8838 0.8838  4 Al 3.04-3.28, 3 In 3.20
Al: 0.2483 0.2483 0.2483  8 Ho 3.01-3.28
Al: 0.7517 0.7517 0.7517  8 Ho 3.01-3.28
In: 0.5000 0.5000 0.5000  8 Ho 3.20-3.23, 6 Al 3.57

Computed properties:
* excess energy over the best structure of this formula in the dataset: 0 meV per atom
* symmetry: R-3m (166)

---

An optimized crystal structure of Ho2AlIn, computed with PBE.

Lattice parameters (Å, degrees): 5.2125 3.6451 10.3993 90.00 90.00 90.00
Last column: nearest neighbours and their distance in Å.
Fractional positions:
Ho: 0.2500 0.0000 0.1196  6 Al 3.10-3.18, 2 In 3.26
Ho: 0.2500 0.0000 0.6378  2 Al 3.10, 6 In 3.19-3.25
Ho: 0.7500 0.0000 0.3622  2 Al 3.10, 6 In 3.19-3.25
Ho: 0.7500 0.0000 0.8804  6 Al 3.10-3.18, 2 In 3.26
Al: 0.2500 0.5000 0.8790  8 Ho 3.10-3.18
Al: 0.7500 0.5000 0.1210  8 Ho 3.10-3.18
In: 0.2500 0.5000 0.3793  8 Ho 3.19-3.26
In: 0.7500 0.5000 0.6207  8 Ho 3.19-3.26

Computed properties:
* symmetry: Pmma (51)

---

An optimized crystal structure of Ho7Al2In2, computed with PBE.

Lattice parameters (Å, degrees): 6.7418 6.7418 7.6873 90.00 90.00 110.90
Last column: nearest neighbours and their distance in Å.
Fractional positions:
Ho: 0.0000 0.0000 0.0000  2 Al 3.16
Ho: 0.0000 0.5000 0.2822  2 Al 2.92
Ho: 0.0000 0.5000 0.7178  2 Al 2.92
Ho: 0.5000 0.0000 0.2822  2 Al 2.92
Ho: 0.5000 0.0000 0.7178  2 Al 2.92
Ho: 0.5000 0.5000 0.2425  2 Al 3.03, 2 In 3.12, 4 Ho 3.38
Ho: 0.5000 0.5000 0.7575  2 Al 3.03, 2 In 3.12, 4 Ho 3.38
Al: 0.2849 0.7151 0.0000  7 Ho 2.92-3.16
Al: 0.7151 0.2849 0.0000  7 Ho 2.92-3.16
In: 0.1842 0.1842 0.5000  1 In 2.82, 2 Ho 3.12
In: 0.8158 0.8158 0.5000  1 In 2.82, 2 Ho 3.12

Computed properties:
* symmetry: Cmmm (65)

---

| no. | energy of formation from the pure elements (kJ/mol of formula units) |
| --- | --- |
| 1 | -172.6 |
| 2 | -160.4 |
| 3 | -54.3 |